Record 1
Material: NiIr2Pt
Method: DFT, GGA-PBEsol
State: relaxed

Summary:
M_tot = 0.001 μB per cell
Energy relative to the elements = 0.028 eV per atom
V = 13.480 A^3/atom

```
4
Lattice="2.696 0.000 0.000 -1.348 4.405 -0.006 0.000 -0.863 4.541" Properties=species:S:1:pos:R:3 pbc="T T T"
Ni 1.348 0.000 0.000
Ir 1.348 1.595 3.444
Ir 0.000 1.946 1.090
Pt 0.000 -0.432 2.270
```

Record 2
Material: Ni2IrPt
Method: DFT, GGA-PBEsol
State: relaxed

Summary:
M_tot = 0.718 μB per cell
Energy relative to the elements = 0.010 eV per atom
V = 12.542 A^3/atom

```
4
Lattice="-0.365 -1.900 -1.840 -1.775 -2.631 3.069 -3.333 3.034 -0.536" Properties=species:S:1:pos:R:3 pbc="T T T"
Ni -3.699 1.127 -2.368
Ni -3.117 -0.926 1.574
Ir -2.337 -0.549 -0.907
Pt -1.087 -2.281 0.634
```

Record 3
Material: NiIr2Pt
Method: DFT, GGA-PBEsol
State: relaxed

Summary:
M_tot = 0.002 μB per cell
Energy relative to the elements = 0.023 eV per atom
V = 13.507 A^3/atom

```
4
Lattice="-2.376 -0.192 -1.287 1.992 -4.147 -0.206 -2.165 -0.361 4.050" Properties=species:S:1:pos:R:3 pbc="T T T"
Ni -0.282 -4.406 1.179
Ir -0.031 -0.030 0.061
Ir -1.313 -2.314 -0.081
Pt -1.201 -2.375 2.572
```

Record 4
Material: Ni2IrPt
Method: DFT, GGA-PBEsol
State: relaxed

Summary:
M_tot = 0.004 μB per cell
Energy relative to the elements = -0.019 eV per atom
V = 12.510 A^3/atom

```
4
Lattice="2.662 0.000 0.000 0.000 3.522 0.000 0.000 0.000 5.337" Properties=species:S:1:pos:R:3 pbc="T T T"
Ni 0.000 0.000 3.948
Ni 0.000 0.000 1.389
Ir 1.331 1.761 2.668
Pt 1.331 1.761 0.000
```

Record 5
Material: NiIr2Pt
Method: DFT, GGA-PBEsol
State: relaxed

Summary:
M_tot = 0.001 μB per cell
Energy relative to the elements = 0.211 eV per atom
V = 13.666 A^3/atom

```
4
Lattice="-1.705 -1.400 -1.507 3.215 -3.121 -0.738 -2.118 -0.006 4.770" Properties=species:S:1:pos:R:3 pbc="T T T"
Ir -0.017 -0.028 0.045
Ir -1.555 -1.868 1.126
Ni -1.351 -2.247 3.616
Pt 0.952 -2.650 1.385
```

Record 6
Material: Ni2IrPt
Method: DFT, GGA-PBEsol
State: relaxed

Summary:
M_tot = 0.008 μB per cell
Energy relative to the elements = 0.029 eV per atom
V = 12.589 A^3/atom

```
4
Lattice="-1.846 1.395 1.316 -1.961 -3.060 0.492 2.490 -0.883 4.431" Properties=species:S:1:pos:R:3 pbc="T T T"
Ni 2.488 -0.882 4.427
Ni -1.294 -1.049 1.987
Ir 0.004 -1.509 4.297
Pt 1.222 -0.433 2.173
```

Record 7
Material: Ni2IrPt
Method: DFT, GGA-PBEsol
State: relaxed

Summary:
M_tot = 1.502 μB per cell
Energy relative to the elements = 0.007 eV per atom
V = 12.722 A^3/atom

```
4
Lattice="2.654 0.000 0.000 -1.327 4.224 -0.001 0.000 -0.829 4.540" Properties=species:S:1:pos:R:3 pbc="T T T"
Ni 1.327 1.500 3.459
Ni 0.000 1.895 1.081
Ir 1.327 0.000 0.000
Pt 0.000 -0.415 2.270
```

Record 8
Material: RbNi3Ir
Method: DFT, GGA-PBEsol
State: relaxed

Summary:
M_tot = 0.005 μB per cell
Energy relative to the elements = 2.581 eV per atom
V = 16.304 A^3/atom

```
5
Lattice="-3.269 1.065 -2.643 -0.044 -4.040 -1.573 -2.849 -1.159 3.056" Properties=species:S:1:pos:R:3 pbc="T T T"
Ni -0.022 -2.020 -0.787
Ni -1.424 -0.580 1.528
Ni -1.634 0.532 -1.321
Ir -3.081 -2.067 -0.580
Rb 0.000 0.000 0.000
```